Record 1
Computed, not measured: a relaxed structure of CaEuO2 at the PBE level of DFT.

abc: 6.107 6.107 6.107
angles: 33.38 33.38 33.38
Last column: magnetic moment on the atom in μB.
Element x y z (fractional)
Eu  0.500  0.500  0.500  6.81
Ca  0.000  0.000  0.000  0.03
O  0.254  0.254  0.254  -0.05
O  0.746  0.746  0.746  -0.05

Computed properties:
The value obtained for the density of states at the Fermi level is 5.667 states/eV/f.u. As for the total energy: -33.5 eV/cell. The space-group type is R-3m (166). For the raw formation energy, the calculation gives -2837 meV/atom.

=====

Record 2
Computed, not measured: a relaxed structure of Ca4Eu2O at the PBE level of DFT.

abc: 4.785 4.785 11.265
angles: 102.26 102.26 90.00
Last column: magnetic moment on the atom in μB.
Element x y z (fractional)
Eu  0.697  0.697  0.393  7.02
Eu  0.303  0.303  0.607  7.02
Ca  0.881  0.881  0.762  0.07
Ca  0.119  0.119  0.238  0.07
Ca  0.000  0.500  0.000  0.03
Ca  0.500  0.000  0.000  0.03
O  0.000  0.000  0.000  0.00

Computed properties:
The value obtained for the density of states at the Fermi level is 20.072 states/eV/f.u. As for the total energy: -38.2 eV/cell. The space-group type is I4/mmm (139). For the raw formation energy, the calculation gives -668 meV/atom.

=====

Record 3
Computed, not measured: a relaxed structure of Ca2EuO at the PBE level of DFT.

abc: 3.538 3.538 9.941
angles: 79.75 79.75 60.00
Last column: magnetic moment on the atom in μB.
Element x y z (fractional)
Eu  0.000  0.000  0.000  7.05
Ca  0.119  0.119  0.644  -0.03
Ca  0.881  0.881  0.356  -0.03
O  0.500  0.500  0.500  0.00

Computed properties:
The value obtained for the density of states at the Fermi level is 1.360 states/eV/f.u. As for the total energy: -24.3 eV/cell. The space-group type is R-3m (166). For the raw formation energy, the calculation gives -1263 meV/atom.